Entry 1:
Material: Tb2Tl2S
Method: DFT, GGA-PBE
State: optimized geometry

Cell lengths 3.765, 3.765, 11.402 Å; angles 99.96, 99.96, 60.13 degrees
Fractional positions:
Tb (0.217, 0.217, 0.146)
Tb (0.783, 0.783, 0.854)
Tl (0.039, 0.039, 0.632)
Tl (0.961, 0.961, 0.368)
S (0.500, 0.500, 0.000)

The space-group type is C2/m, No. 12. The total magnetization comes out at 0.0 μB per formula unit. The calculation puts the uncorrected formation energy at -859 meV per atom.


Entry 2:
Material: SnPb5Se4S2
Method: DFT, GGA-PBE
State: optimized geometry

Cell lengths 8.320, 7.536, 7.536 Å; angles 119.00, 90.00, 90.00 degrees
Fractional positions:
Sn (0.000, 0.000, 0.000)
Pb (0.257, 0.280, 0.663)
Pb (0.257, 0.663, 0.280)
Pb (0.500, 0.981, 0.981)
Pb (0.743, 0.280, 0.663)
Pb (0.743, 0.663, 0.280)
Se (0.000, 0.598, 0.992)
Se (0.000, 0.992, 0.598)
Se (0.250, 0.246, 0.246)
Se (0.750, 0.246, 0.246)
S (0.500, 0.596, 0.997)
S (0.500, 0.997, 0.596)

The space-group type is Amm2, No. 38. The total magnetization comes out at 0.0 μB per formula unit. The calculation puts the uncorrected formation energy at -401 meV per atom.


Entry 3:
Material: LaTh4S5
Method: DFT, GGA-PBE
State: optimized geometry

Cell lengths 7.037, 7.037, 7.037 Å; angles 99.59, 99.59, 131.82 degrees
Fractional positions:
La (0.000, 0.000, 0.000)
Th (0.200, 0.601, 0.801)
Th (0.399, 0.200, 0.599)
Th (0.601, 0.800, 0.401)
Th (0.800, 0.399, 0.199)
S (0.101, 0.303, 0.404)
S (0.303, 0.899, 0.202)
S (0.500, 0.500, 0.000)
S (0.697, 0.101, 0.798)
S (0.899, 0.697, 0.596)

The space-group type is I4/m, No. 87. The total magnetization comes out at 0.0 μB per formula unit. The calculation puts the uncorrected formation energy at -1900 meV per atom.


Entry 4:
Material: CrRePb2
Method: DFT, GGA-PBE
State: optimized geometry

Cell lengths 4.816, 4.816, 4.816 Å; angles 60.00, 60.00, 60.00 degrees
Fractional positions:
Cr (0.000, 0.000, 0.000)
Re (0.500, 0.500, 0.500)
Pb (0.250, 0.250, 0.250)
Pb (0.750, 0.750, 0.750)

The energy of formation from the pure elements comes out at 0.9028 eV per atom. The space-group type is Fm-3m, No. 225. The total magnetization comes out at 3.0 μB per formula unit.


Entry 5:
Material: Cs2K4Au2I3
Method: DFT, GGA-PBE
State: optimized geometry

Cell lengths 14.462, 14.462, 14.462 Å; angles 155.00, 155.00, 35.65 degrees
Fractional positions:
Cs (0.194, 0.194, 0.000)
Cs (0.806, 0.806, 0.000)
K (0.074, 0.574, 0.500)
K (0.426, 0.926, 0.500)
K (0.574, 0.074, 0.500)
K (0.926, 0.426, 0.500)
Au (0.051, 0.051, 0.000)
Au (0.949, 0.949, 0.000)
I (0.334, 0.334, 0.000)
I (0.500, 0.500, 0.000)
I (0.666, 0.666, 0.000)

The space-group type is I4/mmm, No. 139. The total magnetization comes out at 0.0 μB per formula unit. The calculation puts the uncorrected formation energy at -848 meV per atom.


Entry 6:
Material: Na2ErInI6
Method: DFT, GGA-PBE
State: optimized geometry

Cell lengths 8.783, 8.783, 8.783 Å; angles 54.97, 54.97, 54.97 degrees
Fractional positions:
Na (0.000, 0.000, 0.000)
Na (0.487, 0.487, 0.487)
Er (0.675, 0.675, 0.675)
In (0.186, 0.186, 0.186)
I (0.057, 0.431, 0.757)
I (0.284, 0.873, 0.615)
I (0.431, 0.757, 0.057)
I (0.615, 0.284, 0.873)
I (0.757, 0.057, 0.431)
I (0.873, 0.615, 0.284)

The space-group type is R3, No. 146. The total magnetization comes out at 0.0 μB per formula unit. The calculation puts the uncorrected formation energy at -1134 meV per atom.


Number 2 is which compound?
SnPb5Se4S2


Number 5 is which compound?
Cs2K4Au2I3